Crystalline KNaPb2 at its relaxed geometry, computed with PBE-GGA.

Computed properties:
- Total magnetization: 0.0000 μB/atom
- SG: No. 123
- Energy above the lowest structure with this stoichiometry: 65.1 meV per atom
- ΔH_f (0 K): -0.0585 eV/atom

Geometry as extended XYZ:
```
4
Lattice="-5.1438 1.6716 0.5465 -1.4787 -4.6546 0.3195 0.5662 0.1537 4.8589" Properties=species:S:1:pos:R:3 pbc="T T T"
K -3.0281 -1.4146 2.8625
Pb 0.2831 0.0768 2.4295
Pb -0.7393 -2.3273 0.1598
Na -2.5719 0.8358 0.2733
```